(1)
AcBi3Au3 (PBE, relaxed); crystal system = cubic; E_form = -0.0068 eV per atom; space-group type = No. 223; energy above the most stable polymorph in this dataset = 0.417 eV/atom
1.0
-5.9636 0.1760 5.0367
-3.5244 -5.7234 -3.9730
3.6025 -5.3080 4.4509
Ac Au Bi
2 6 6
direct
0.5000 0.5000 0.5000
0.0000 0.0000 0.0000
0.2500 0.0000 0.5000
0.0000 0.5000 0.2500
0.5000 0.7500 0.0000
0.7500 0.0000 0.5000
0.0000 0.5000 0.7500
0.5000 0.2500 0.0000
0.0000 0.2500 0.5000
0.0000 0.7500 0.5000
0.5000 0.0000 0.7500
0.7500 0.5000 0.0000
0.5000 0.0000 0.2500
0.2500 0.5000 0.0000



(2)
AcBi2Au (PBE, relaxed); crystal system = tetragonal; E_form = -0.5110 eV per atom; space-group type = No. 123; energy above the most stable polymorph in this dataset = 0.105 eV/atom
1.0
4.8398 0.0000 0.0000
0.0000 4.9729 0.0000
0.0000 0.0000 4.9729
Ac Au Bi
1 1 2
direct
0.5000 0.5000 0.5000
0.5000 0.0000 0.0000
0.0000 0.0000 0.5000
0.0000 0.5000 0.0000



(3)
Ac2Bi3Au4 (PBE, relaxed); crystal system = monoclinic; E_form = -0.5703 eV per atom; space-group type = No. 12
1.0
-3.5381 -2.4756 -2.6901
0.0829 -0.4037 5.0737
-6.9142 8.9389 0.8728
Ac Bi Au
2 3 4
direct
0.3322 0.6643 0.2064
0.6678 0.3357 0.7936
0.3355 0.6712 0.6095
0.0000 0.0000 0.0000
0.6645 0.3288 0.3905
0.6661 0.3321 0.0977
0.0023 0.0049 0.6370
0.9977 0.9951 0.3630
0.3339 0.6679 0.9023



(4)
AcBi2Au (PBE, relaxed); crystal system = orthorhombic; E_form = -0.5175 eV per atom; space-group type = No. 63; energy above the most stable polymorph in this dataset = 0.098 eV/atom
1.0
4.5579 0.0000 0.0000
-2.2790 9.7890 0.0000
0.0000 0.0000 11.3624
Ac Bi Au
4 8 4
direct
0.5000 0.0000 0.5000
0.5000 0.0000 0.0000
0.6930 0.3860 0.2500
0.3070 0.6140 0.7500
0.1129 0.2258 0.7500
0.0534 0.1068 0.2500
0.8871 0.7742 0.2500
0.9466 0.8932 0.7500
0.2952 0.5905 0.4239
0.7048 0.4095 0.5761
0.7048 0.4095 0.9239
0.2952 0.5905 0.0761
0.8800 0.7601 0.5216
0.1200 0.2399 0.0216
0.8800 0.7601 0.9784
0.1200 0.2399 0.4784